(1)
Entry from Alexandria: a relaxed structure of Tb5Nd3In (PBE).

It has space group C2/m (No. 12), with a = 11.909 Å, b = 8.618 Å, c = 12.592 Å, α = 90.00°, β = 96.89° and γ = 90.00°. Symmetry generates all atoms from Tb at (0.000, 0.176, 0.000), Tb at (0.043, 0.000, 0.257), Tb at (0.214, 0.194, 0.804), Tb at (0.250, 0.000, 0.053), Nd at (0.000, 0.500, 0.000), Nd at (0.000, 0.500, 0.500), Nd at (0.046, 0.500, 0.255), Nd at (0.163, 0.000, 0.543) and In at (0.204, 0.500, 0.671).

For the formation enthalpy at 0 K, the calculation gives 2.513 eV/f.u.

(2)
Entry from Alexandria: a relaxed structure of ReNiCl2 (PBE).

It has space group R-3m (No. 166, hexagonal axes), with a = 2.9716 Å, b = 2.9716 Å, c = 22.5996 Å, α = 90.00°, β = 90.00° and γ = 120.00°. Symmetry generates all atoms from Re at (0.0000, 0.0000, 0.0000), Ni at (0.0000, 0.0000, 0.5000) and Cl at (0.0000, 0.0000, 0.2459).

The uncorrected formation energy is 15.99 kcal/mol of atoms.

(3)
Entry from Alexandria: a relaxed structure of CoRe3Se (PBE).

It has space group Pm-3m (No. 221), with a = 4.484 Å, b = 4.484 Å, c = 4.484 Å, α = 90.00°, β = 90.00° and γ = 90.00°. Symmetry generates all atoms from Co at (0.000, 0.000, 0.000), Re at (0.000, 0.500, 0.500) and Se at (0.500, 0.500, 0.500).

The uncorrected formation energy is 47.14 kcal/mol of atoms.

(4)
Entry from Alexandria: a relaxed structure of KNa6Tl3 (PBE).

It has space group Cmc2_1 (No. 36), with a = 9.803 Å, b = 16.420 Å, c = 8.516 Å, α = 90.00°, β = 90.00° and γ = 90.00°. Symmetry generates all atoms from K at (0.000, 0.179, 0.000), Na at (0.000, 0.029, 0.322), Na at (0.000, 0.268, 0.422), Na at (0.175, 0.468, 0.429), Na at (0.185, 0.331, 0.776), Tl at (0.000, 0.390, 0.118) and Tl at (0.172, 0.129, 0.626).

For the formation enthalpy at 0 K, the calculation gives -0.480 eV/f.u.

(5)
Entry from Alexandria: a relaxed structure of Nd2Y3 (PBE).

It has space group C2/c (No. 15), with a = 12.134 Å, b = 6.362 Å, c = 9.365 Å, α = 90.00°, β = 110.44° and γ = 90.00°. Symmetry generates all atoms from Nd at (0.099, 0.168, 0.450), Y at (0.000, 0.334, 0.750) and Y at (0.202, 0.335, 0.150).

For the formation enthalpy at 0 K, the calculation gives 0.057 eV/f.u.

(6)
Entry from Alexandria: a relaxed structure of PmP3Rh4 (PBE).

It has space group P4/mmm (No. 123), with a = 3.994 Å, b = 3.994 Å, c = 7.759 Å, α = 90.00°, β = 90.00° and γ = 90.00°. Symmetry generates all atoms from Pm at (0.000, 0.000, 0.000), P at (0.000, 0.000, 0.500), P at (0.500, 0.500, 0.151) and Rh at (0.000, 0.500, 0.319).

For the formation enthalpy at 0 K, the calculation gives -7.558 eV/f.u.

(7)
Entry from Alexandria: a relaxed structure of CeHo2Pu3Se6 (PBE).

It has space group C2/m (No. 12), with a = 17.987 Å, b = 4.112 Å, c = 8.286 Å, α = 90.00°, β = 103.36° and γ = 90.00°. Symmetry generates all atoms from Ce at (0.000, 0.000, 0.000), Ho at (0.167, 0.500, 0.335), Pu at (0.000, 0.000, 0.500), Pu at (0.164, 0.500, 0.834), Se at (0.003, 0.500, 0.256), Se at (0.168, 0.000, 0.580) and Se at (0.169, 0.000, 0.090).

The uncorrected formation energy is -38.39 kcal/mol of atoms.

(8)
Entry from Alexandria: a relaxed structure of Pr3Ga2Ni9Sn (PBE).

It has space group P-3m1 (No. 164), with a = 6.0554 Å, b = 6.0554 Å, c = 8.9983 Å, α = 90.00°, β = 90.00° and γ = 120.00°. Symmetry generates all atoms from Pr at (0.0000, 0.0000, 0.0000), Pr at (0.3333, 0.6667, 0.7053), Ga at (0.3333, 0.6667, 0.1774), Ni at (0.0000, 0.5000, 0.0000), Ni at (0.1337, 0.2674, 0.2687) and Sn at (0.0000, 0.0000, 0.5000).

For the formation enthalpy at 0 K, the calculation gives -1.499 eV/f.u.

no.,D(E_F) (states/eV/cell),calculated volume (Å³/cell),electronic total energy (eV/atom)
1,49.63,1282.96,-4.19
2,9.67,172.82,-4.79
3,11.05,90.13,-7.54
4,15.12,1370.83,-1.66
5,35.17,677.48,-5.77
6,4.25,123.76,-7.24
7,55.43,596.31,-8.25
8,10.52,285.75,-5.20